# 1
VASP calculation (PBE-GGA) on crystalline ZrP2CO at its relaxed geometry.

abc: 5.153 5.153 3.957
angles: 90.00 90.00 90.00
Element x y z (fractional)
Zr 0.000 0.000 0.000
P 0.000 0.500 0.000
P 0.500 0.000 0.000
C 0.500 0.500 0.500
O 0.000 0.000 0.500

Values from the calculation:
E above lowest polymorph	793	meV per atom
uncorrected formation energy	1045	meV per atom
symmetry	P4/mmm (123)
V	105.1	Å³/f.u.


# 2
VASP calculation (PBE-GGA) on crystalline CaLaTiPb2 at its relaxed geometry.

abc: 6.090 6.090 5.108
angles: 90.00 90.00 90.00
Element x y z (fractional)
Ca 0.000 0.000 0.000
La 0.500 0.500 0.500
Ti 0.500 0.500 0.000
Pb 0.000 0.500 0.500
Pb 0.500 0.000 0.500

Values from the calculation:
symmetry	P4/mmm (123)
V	189.4	Å³/f.u.
ΔH_f (0 K)	0.6561	eV per atom


# 3
VASP calculation (PBE-GGA) on crystalline YHgPb2 at its relaxed geometry.

abc: 6.106 6.106 6.106
angles: 135.82 135.82 64.26
Element x y z (fractional)
Y 0.000 0.000 0.000
Hg 0.250 0.750 0.500
Pb 0.500 0.500 0.000
Pb 0.750 0.250 0.500

Values from the calculation:
symmetry	I-4m2 (119)
V	109.1	Å³/f.u.
ΔH_f (0 K)	-0.2749	eV per atom


# 4
VASP calculation (PBE-GGA) on crystalline PmPr3Y2Tm6 at its relaxed geometry.

abc: 6.201 6.201 11.756
angles: 95.03 95.03 119.98
Element x y z (fractional)
Pm 0.000 0.000 0.000
Pr 0.167 0.833 0.500
Pr 0.500 0.500 0.500
Pr 0.833 0.167 0.500
Y 0.333 0.667 0.000
Y 0.667 0.333 0.000
Tm 0.083 0.416 0.248
Tm 0.250 0.250 0.752
Tm 0.416 0.083 0.248
Tm 0.584 0.917 0.752
Tm 0.750 0.750 0.248
Tm 0.917 0.584 0.752

Values from the calculation:
symmetry	C2/m (12)
V	385.5	Å³/f.u.
ΔH_f (0 K)	0.0235	eV per atom